1.
! meta-GGA SCAN Sr2CuSe, PBEsol geometry; values from VASP
&SYSTEM
  ibrav = 0, nat = 8, ntyp = 3
/
ATOMIC_SPECIES
Sr 87.62 Sr.upf
Cu 63.55 Cu.upf
Se 78.96 Se.upf
ATOMIC_POSITIONS crystal
Sr 0.0000 0.0000 0.0000
Sr 0.0000 0.5000 0.2453
Sr 0.5000 0.0000 0.7453
Sr 0.5000 0.5000 0.5000
Cu 0.0000 0.0000 0.4088
Cu 0.5000 0.5000 0.9088
Se 0.0000 0.5000 0.6614
Se 0.5000 0.0000 0.1614
CELL_PARAMETERS angstrom
3.9516 0.0000 0.0000
0.0000 4.0646 0.0000
0.0000 0.0000 14.9716
! - Volume: 30.06 Å³ per atom
! - Formation energy from raw total energies: -0.885 eV per atom
! - Energy: -20.84 eV/atom
! - DOS at the Fermi energy: 3.35 states/eV per cell

***

2.
! meta-GGA SCAN BaCaLa2Zn, PBEsol geometry; values from VASP
&SYSTEM
  ibrav = 0, nat = 5, ntyp = 4
/
ATOMIC_SPECIES
Ba 137.33 Ba.upf
Ca 40.08 Ca.upf
La 138.91 La.upf
Zn 65.41 Zn.upf
ATOMIC_POSITIONS crystal
Ba 0.0000 0.0000 0.0000
Ca 0.0000 0.0000 0.5000
La 0.0000 0.5000 0.0000
La 0.5000 0.0000 0.0000
Zn 0.5000 0.5000 0.5000
CELL_PARAMETERS angstrom
5.8094 0.0000 0.0000
0.0000 5.8094 0.0000
0.0000 0.0000 5.7734
! - Volume: 38.97 Å³ per atom
! - Energy: -28.84 eV/atom
! - DOS at the Fermi energy: 4.53 states/eV per cell

***

3.
! meta-GGA SCAN BiMoH3, PBEsol geometry; values from VASP
&SYSTEM
  ibrav = 0, nat = 5, ntyp = 3
/
ATOMIC_SPECIES
Bi 208.98 Bi.upf
Mo 95.94 Mo.upf
H 1.01 H.upf
ATOMIC_POSITIONS crystal
Bi 0.0000 0.0000 0.0000
Mo 0.5000 0.5000 0.5000
H 0.0000 0.5000 0.5000
H 0.5000 0.0000 0.5000
H 0.5000 0.5000 0.0000
CELL_PARAMETERS angstrom
3.7192 0.0000 0.0000
0.0000 3.7192 0.0000
0.0000 0.0000 3.7192
! - Volume: 10.29 Å³ per atom
! - E above lowest polymorph: 0.000 eV/atom
! - Energy: -24.27 eV/atom
! - DOS at the Fermi energy: 1.75 states/eV per cell

***

4.
! meta-GGA SCAN Ge2BMoPd, PBEsol geometry; values from VASP
&SYSTEM
  ibrav = 0, nat = 5, ntyp = 4
/
ATOMIC_SPECIES
Ge 72.64 Ge.upf
B 10.81 B.upf
Mo 95.94 Mo.upf
Pd 106.42 Pd.upf
ATOMIC_POSITIONS crystal
Ge 0.0000 0.5000 0.0000
Ge 0.5000 0.0000 0.0000
B 0.0000 0.0000 0.5000
Mo 0.0000 0.0000 0.0000
Pd 0.5000 0.5000 0.5000
CELL_PARAMETERS angstrom
4.7622 0.0000 0.0000
0.0000 4.7622 0.0000
0.0000 0.0000 4.0874
! - Volume: 18.54 Å³ per atom
! - Energy: -21.74 eV/atom
! - DOS at the Fermi energy: 3.15 states/eV per cell

***

5.
! meta-GGA SCAN YSbIr2, PBEsol geometry; values from VASP
&SYSTEM
  ibrav = 0, nat = 8, ntyp = 3
/
ATOMIC_SPECIES
Y 88.91 Y.upf
Sb 121.76 Sb.upf
Ir 192.22 Ir.upf
ATOMIC_POSITIONS crystal
Y 0.0000 0.0000 0.0000
Y 0.5000 0.5000 0.5000
Sb 0.0000 0.5000 0.2498
Sb 0.5000 0.0000 0.7498
Ir 0.0000 0.0000 0.5004
Ir 0.0000 0.5000 0.7503
Ir 0.5000 0.0000 0.2503
Ir 0.5000 0.5000 0.0004
CELL_PARAMETERS angstrom
3.9945 0.0000 0.0000
0.0000 4.0031 0.0000
0.0000 0.0000 9.0017
! - Volume: 17.99 Å³ per atom
! - Formation energy from raw total energies: -0.412 eV per atom
! - Energy: -52.24 eV/atom
! - DOS at the Fermi energy: 4.91 states/eV per cell

***

6.
! meta-GGA SCAN ReAs2Pt, PBEsol geometry; values from VASP
&SYSTEM
  ibrav = 0, nat = 4, ntyp = 3
/
ATOMIC_SPECIES
Re 186.21 Re.upf
As 74.92 As.upf
Pt 195.08 Pt.upf
ATOMIC_POSITIONS crystal
Re 0.0000 0.0000 0.0000
As 0.0000 0.5000 0.5000
As 0.5000 0.0000 0.5000
Pt 0.5000 0.5000 0.0000
CELL_PARAMETERS angstrom
4.3057 0.0000 0.0000
0.0000 4.3057 0.0000
0.0000 0.0000 3.2521
! - Volume: 15.07 Å³ per atom
! - Energy: -45.13 eV/atom
! - DOS at the Fermi energy: 2.80 states/eV per cell